# 1
First-principles (PBE-GGA) data for Be2Pt2Au after structural relaxation, as listed in Alexandria.

## Properties
* DOS at the Fermi energy: 2.1 states/eV/f.u.
* energy relative to the elements: -0.280 eV per atom
* relative energy among the computed polymorphs: 0.215 eV/atom
* energy: -4.84 eV/atom
* space-group type: I4/mmm (139)

```
5
Lattice="-1.762 1.762 5.759 1.762 -1.762 5.759 1.762 1.762 -5.759" Properties=species:S:1:pos:R:3 pbc="T T T"
Be 1.762 0.000 2.879
Be 0.000 1.762 2.879
Pt 0.000 0.000 1.428
Pt 0.000 0.000 10.090
Au 0.000 0.000 5.759
```

# 2
First-principles (PBE-GGA) data for BePt2Au after structural relaxation, as listed in Alexandria.

## Properties
* DOS at the Fermi energy: 3.5 states/eV/f.u.
* energy relative to the elements: -0.012 eV per atom
* energy: -4.78 eV/atom
* space-group type: F-43m (216)

```
4
Lattice="0.000 3.111 3.111 3.111 0.000 3.111 3.111 3.111 0.000" Properties=species:S:1:pos:R:3 pbc="T T T"
Be 0.000 0.000 0.000
Pt 1.555 1.555 1.555
Pt 3.111 3.111 3.111
Au 4.666 4.666 4.666
```

# 3
First-principles (PBE-GGA) data for BePt2Au after structural relaxation, as listed in Alexandria.

## Properties
* DOS at the Fermi energy: 1.1 states/eV/f.u.
* energy relative to the elements: -0.241 eV per atom
* energy: -5.01 eV/atom
* space-group type: Amm2 (38)

```
4
Lattice="3.570 0.000 0.000 0.000 1.403 5.920 0.000 -1.403 5.920" Properties=species:S:1:pos:R:3 pbc="T T T"
Be 0.000 0.000 0.000
Pt 0.000 0.000 2.415
Pt 1.785 0.000 6.644
Au 1.785 0.000 10.059
```

# 4
First-principles (PBE-GGA) data for Be2PtAu after structural relaxation, as listed in Alexandria.

## Properties
* DOS at the Fermi energy: 1.6 states/eV/f.u.
* energy relative to the elements: 0.369 eV per atom
* energy: -3.82 eV/atom
* space-group type: Immm (71)

```
4
Lattice="-1.384 2.367 4.568 1.384 -2.367 4.568 1.384 2.367 -4.568" Properties=species:S:1:pos:R:3 pbc="T T T"
Be 0.000 0.000 2.228
Be 0.000 0.000 6.908
Pt 0.000 0.000 0.000
Au 0.000 0.000 4.568
```

# 5
First-principles (PBE-GGA) data for BePt2Au after structural relaxation, as listed in Alexandria.

## Properties
* DOS at the Fermi energy: 0.8 states/eV/f.u.
* energy relative to the elements: -0.379 eV per atom
* energy: -5.15 eV/atom
* space-group type: R-3m (166)

```
4
Lattice="1.382 0.798 8.927 -1.382 0.798 8.927 0.000 -1.596 8.927" Properties=species:S:1:pos:R:3 pbc="T T T"
Be 0.000 0.000 0.000
Pt 0.000 0.000 7.161
Pt 0.000 0.000 19.620
Au 0.000 0.000 13.390
```

# 6
First-principles (PBE-GGA) data for Be2PtAu after structural relaxation, as listed in Alexandria.

## Properties
* DOS at the Fermi energy: 1.0 states/eV/f.u.
* energy relative to the elements: -0.274 eV per atom
* energy: -4.47 eV/atom
* space-group type: I-4m2 (119)

```
4
Lattice="-1.718 1.718 4.324 1.718 -1.718 4.324 1.718 1.718 -4.324" Properties=species:S:1:pos:R:3 pbc="T T T"
Be 0.000 0.000 0.000
Be 0.000 1.718 2.162
Pt 1.718 0.000 2.162
Au 0.000 0.000 4.324
```